Compound: CsGdF2
Source: the Alexandria database
Functional: PBE
Structure: relaxed

Values from the calculation:
Space-group type: P4/mmm, No. 123
E_form (uncorrected) (kJ/mol of atoms): -192

```
CsGdF2
1.0
-1.028 2.241 -2.249
-2.771 0.520 1.785
3.673 5.732 4.032
Gd Cs F
1 1 2
Direct
0.500 0.500 0.000
0.500 0.500 0.500
0.000 0.000 0.843
0.000 0.000 0.157
```